This record from Alexandria describes a geometry-optimized BaYFeCuO5 structure. The functional is PBE+U.

DFT total energy = -6.909 eV per atom
mass density = 5.818 g/cm³
crystal system = tetragonal

Geometry as CIF:
```
data_BaYFeCuO5
_chemical_formula_sum 'Ba1 Y1 Fe1 Cu1 O5'
_cell_length_a 3.894
_cell_length_b 3.894
_cell_length_c 8.010
_cell_angle_alpha 90.00
_cell_angle_beta 90.00
_cell_angle_gamma 90.00
_symmetry_space_group_name_H-M 'P 4 m m'
_symmetry_Int_Tables_number 99
loop_
_symmetry_equiv_pos_as_xyz
'x,y,z'
'-y,x,z'
'-x,-y,z'
'y,-x,z'
'-x,y,z'
'y,x,z'
'x,-y,z'
'-y,-x,z'
loop_
_atom_site_label
_atom_site_fract_x
_atom_site_fract_y
_atom_site_fract_z
Ba1 0.000 0.000 0.000
Y1 0.000 0.000 0.463
Fe1 0.500 0.500 0.702
Cu1 0.500 0.500 0.254
O1 0.000 0.500 0.274
O2 0.000 0.500 0.631
O3 0.500 0.500 0.936
```